one | This record from Alexandria describes a relaxed structure of Zn4In2Ga5. The functional is PBE-GGA.

Results
* space-group type: C2/m
* total magnetic moment: 0.00 μB/f.u.
* volume: 19.5 Å³/atom

a = 6.7650 Å, b = 6.7650 Å, c = 5.4479 Å
α = 112.05°, β = 112.05°, γ = 81.57°
Atoms (fractional coordinates):
Zn 0.0519 0.4196 0.2292
Zn 0.4196 0.0519 0.2292
Zn 0.5804 0.9481 0.7708
Zn 0.9481 0.5804 0.7708
In 0.1740 0.1740 0.6645
In 0.8260 0.8260 0.3355
Ga 0.0000 0.0000 0.0000
Ga 0.3389 0.6502 0.7483
Ga 0.3498 0.6611 0.2517
Ga 0.6502 0.3389 0.7483
Ga 0.6611 0.3498 0.2517



two | This record from Alexandria describes a relaxed structure of Zn4In2Ga5. The functional is PBE-GGA.

Results
* space-group type: P-1
* total magnetic moment: 0.00 μB/f.u.
* volume: 19.3 Å³/atom

a = 5.3734 Å, b = 6.5178 Å, c = 6.7071 Å
α = 96.18°, β = 111.09°, γ = 100.25°
Atoms (fractional coordinates):
Zn 0.0835 0.3945 0.1632
Zn 0.1931 0.1524 0.4771
Zn 0.8069 0.8476 0.5229
Zn 0.9165 0.6055 0.8368
In 0.3120 0.6625 0.5986
In 0.6880 0.3375 0.4014
Ga 0.2274 0.0758 0.8887
Ga 0.3040 0.8388 0.2097
Ga 0.5000 0.5000 0.0000
Ga 0.6960 0.1612 0.7903
Ga 0.7726 0.9242 0.1113



Of them, the most stable is two and the least stable is one.



one | This record from Alexandria describes a relaxed structure of Zn2In2Ga. The functional is PBE-GGA.

Results
* space-group type: I4/mmm
* total magnetic moment: 0.00 μB/f.u.
* volume: 23.2 Å³/atom

a = 6.6723 Å, b = 6.6723 Å, c = 6.6723 Å
α = 141.11°, β = 141.11°, γ = 56.18°
Atoms (fractional coordinates):
Zn 0.1020 0.1020 0.0000
Zn 0.8980 0.8980 0.0000
In 0.2500 0.7500 0.5000
In 0.7500 0.2500 0.5000
Ga 0.5000 0.5000 0.0000



two | This record from Alexandria describes a relaxed structure of Zn2In2Ga. The functional is PBE-GGA.

Results
* space-group type: P4/mbm
* total magnetic moment: 0.00 μB/f.u.
* volume: 21.2 Å³/atom

a = 6.9915 Å, b = 6.9915 Å, c = 4.3453 Å
α = 90.00°, β = 90.00°, γ = 90.00°
Atoms (fractional coordinates):
Zn 0.1308 0.3692 0.0000
Zn 0.3692 0.8692 0.0000
Zn 0.6308 0.1308 0.0000
Zn 0.8692 0.6308 0.0000
In 0.1756 0.6756 0.5000
In 0.3244 0.1756 0.5000
In 0.6756 0.8244 0.5000
In 0.8244 0.3244 0.5000
Ga 0.0000 0.0000 0.0000
Ga 0.5000 0.5000 0.0000



three | This record from Alexandria describes a relaxed structure of Zn2In2Ga. The functional is PBE-GGA.

Results
* space-group type: I4/mmm
* total magnetic moment: 0.00 μB/f.u.
* volume: 22.1 Å³/atom

a = 8.8257 Å, b = 8.8257 Å, c = 8.8257 Å
α = 156.36°, β = 156.36°, γ = 33.67°
Atoms (fractional coordinates):
Zn 0.2500 0.7500 0.5000
Zn 0.7500 0.2500 0.5000
In 0.1055 0.1055 0.0000
In 0.8945 0.8945 0.0000
Ga 0.5000 0.5000 0.0000



four | This record from Alexandria describes a relaxed structure of Zn2In2Ga. The functional is PBE-GGA.

Results
* space-group type: P4/mbm
* total magnetic moment: 0.00 μB/f.u.
* volume: 21.9 Å³/atom

a = 8.4856 Å, b = 8.4856 Å, c = 3.0417 Å
α = 90.00°, β = 90.00°, γ = 90.00°
Atoms (fractional coordinates):
Zn 0.1126 0.3874 0.0000
Zn 0.3874 0.8874 0.0000
Zn 0.6126 0.1126 0.0000
Zn 0.8874 0.6126 0.0000
In 0.1841 0.6841 0.5000
In 0.3159 0.1841 0.5000
In 0.6841 0.8159 0.5000
In 0.8159 0.3159 0.5000
Ga 0.0000 0.0000 0.5000
Ga 0.5000 0.5000 0.5000



Of them, the most stable is two and the least stable is one.



one | This record from Alexandria describes a relaxed structure of ZnInGa3. The functional is PBE-GGA.

Results
* space-group type: Pm-3m
* total magnetic moment: 0.00 μB/f.u.
* volume: 23.7 Å³/atom

a = 4.9133 Å, b = 4.9133 Å, c = 4.9133 Å
α = 90.00°, β = 90.00°, γ = 90.00°
Atoms (fractional coordinates):
Zn 0.0000 0.0000 0.0000
In 0.5000 0.5000 0.5000
Ga 0.0000 0.0000 0.5000
Ga 0.0000 0.5000 0.0000
Ga 0.5000 0.0000 0.0000



two | This record from Alexandria describes a relaxed structure of ZnInGa3. The functional is PBE-GGA.

Results
* space-group type: Cmcm
* total magnetic moment: 0.00 μB/f.u.
* volume: 21.0 Å³/atom

a = 6.4923 Å, b = 6.4923 Å, c = 5.7450 Å
α = 90.00°, β = 90.00°, γ = 120.07°
Atoms (fractional coordinates):
Zn 0.0000 0.0000 0.0000
Zn 0.0000 0.0000 0.5000
In 0.3334 0.6666 0.7500
In 0.6666 0.3334 0.2500
Ga 0.1953 0.3910 0.2500
Ga 0.1954 0.8046 0.2500
Ga 0.3910 0.1953 0.7500
Ga 0.6090 0.8047 0.2500
Ga 0.8046 0.1954 0.7500
Ga 0.8047 0.6090 0.7500



three | This record from Alexandria describes a relaxed structure of ZnInGa3. The functional is PBE-GGA.

Results
* space-group type: Cm
* total magnetic moment: 0.00 μB/f.u.
* volume: 20.4 Å³/atom

a = 4.1775 Å, b = 4.1775 Å, c = 6.5027 Å
α = 108.03°, β = 108.03°, γ = 90.81°
Atoms (fractional coordinates):
Zn 0.0000 0.0000 0.0000
In 0.4047 0.4047 0.7958
Ga 0.1502 0.6411 0.2801
Ga 0.6411 0.1502 0.2801
Ga 0.7981 0.7981 0.5727



Of them, the most stable is three and the least stable is one.



one | This record from Alexandria describes a relaxed structure of ZnInGa6. The functional is PBE-GGA.

Results
* space-group type: Pmm2
* total magnetic moment: 0.00 μB/f.u.
* volume: 21.6 Å³/atom

a = 2.9037 Å, b = 8.2060 Å, c = 7.2540 Å
α = 90.00°, β = 90.00°, γ = 90.00°
Atoms (fractional coordinates):
Zn 0.0000 0.0000 0.0000
In 0.5000 0.5000 0.6740
Ga 0.0000 0.2247 0.4878
Ga 0.0000 0.5000 0.0373
Ga 0.0000 0.7753 0.4878
Ga 0.5000 0.0000 0.6886
Ga 0.5000 0.2379 0.1654
Ga 0.5000 0.7621 0.1654



two | This record from Alexandria describes a relaxed structure of ZnInGa6. The functional is PBE-GGA.

Results
* space-group type: P4/mmm
* total magnetic moment: 0.00 μB/f.u.
* volume: 19.4 Å³/atom

a = 4.2136 Å, b = 4.2136 Å, c = 8.7351 Å
α = 90.00°, β = 90.00°, γ = 90.00°
Atoms (fractional coordinates):
Zn 0.0000 0.0000 0.0000
In 0.0000 0.0000 0.5000
Ga 0.0000 0.5000 0.2312
Ga 0.0000 0.5000 0.7688
Ga 0.5000 0.0000 0.2312
Ga 0.5000 0.0000 0.7688
Ga 0.5000 0.5000 0.0000
Ga 0.5000 0.5000 0.5000



Of them, the most stable is two and the least stable is one.



one | This record from Alexandria describes a relaxed structure of ZrInGa3. The functional is PBE-GGA.

Results
* space-group type: Pm-3m
* total magnetic moment: 0.00 μB/f.u.
* volume: 26.0 Å³/atom

a = 5.0637 Å, b = 5.0637 Å, c = 5.0637 Å
α = 90.00°, β = 90.00°, γ = 90.00°
Atoms (fractional coordinates):
Zr 0.0000 0.0000 0.0000
In 0.5000 0.5000 0.5000
Ga 0.0000 0.5000 0.5000
Ga 0.5000 0.0000 0.5000
Ga 0.5000 0.5000 0.0000



two | This record from Alexandria describes a relaxed structure of ZrInGa3. The functional is PBE-GGA.

Results
* space-group type: Pm-3m
* total magnetic moment: 0.00 μB/f.u.
* volume: 29.9 Å³/atom

a = 5.3065 Å, b = 5.3065 Å, c = 5.3065 Å
α = 90.00°, β = 90.00°, γ = 90.00°
Atoms (fractional coordinates):
Zr 0.0000 0.0000 0.0000
In 0.5000 0.5000 0.5000
Ga 0.0000 0.0000 0.5000
Ga 0.0000 0.5000 0.0000
Ga 0.5000 0.0000 0.0000



Of them, the most stable is two and the least stable is one.



one | This record from Alexandria describes a relaxed structure of ZrIn2Ga2. The functional is PBE-GGA.

Results
* space-group type: I4/mmm
* total magnetic moment: 0.00 μB/f.u.
* volume: 22.8 Å³/atom

a = 8.7352 Å, b = 8.7352 Å, c = 8.7352 Å
α = 155.56°, β = 155.56°, γ = 34.83°
Atoms (fractional coordinates):
Zr 0.0000 0.0000 0.0000
In 0.3973 0.3973 0.0000
In 0.6027 0.6027 0.0000
Ga 0.2500 0.7500 0.5000
Ga 0.7500 0.2500 0.5000



two | This record from Alexandria describes a relaxed structure of ZrIn2Ga2. The functional is PBE-GGA.

Results
* space-group type: P4/mbm
* total magnetic moment: 0.00 μB/f.u.
* volume: 21.7 Å³/atom

a = 7.9370 Å, b = 7.9370 Å, c = 3.4481 Å
α = 90.00°, β = 90.00°, γ = 90.00°
Atoms (fractional coordinates):
Zr 0.0000 0.0000 0.0000
Zr 0.5000 0.5000 0.0000
In 0.1327 0.3673 0.0000
In 0.3673 0.8673 0.0000
In 0.6327 0.1327 0.0000
In 0.8673 0.6327 0.0000
Ga 0.1696 0.6696 0.5000
Ga 0.3304 0.1696 0.5000
Ga 0.6696 0.8304 0.5000
Ga 0.8304 0.3304 0.5000



three | This record from Alexandria describes a relaxed structure of ZrIn2Ga2. The functional is PBE-GGA.

Results
* space-group type: P4/mbm
* total magnetic moment: 0.00 μB/f.u.
* volume: 21.2 Å³/atom

a = 7.5729 Å, b = 7.5729 Å, c = 3.7016 Å
α = 90.00°, β = 90.00°, γ = 90.00°
Atoms (fractional coordinates):
Zr 0.0000 0.0000 0.0000
Zr 0.5000 0.5000 0.0000
In 0.1654 0.3346 0.5000
In 0.3346 0.8346 0.5000
In 0.6654 0.1654 0.5000
In 0.8346 0.6654 0.5000
Ga 0.1341 0.6341 0.0000
Ga 0.3659 0.1341 0.0000
Ga 0.6341 0.8659 0.0000
Ga 0.8659 0.3659 0.0000



Of them, the most stable is three and the least stable is one.



one | This record from Alexandria describes a relaxed structure of Zr6InGa. The functional is PBE-GGA.

Results
* space-group type: R-3
* total magnetic moment: 0.00 μB/f.u.
* volume: 21.8 Å³/atom

a = 5.5856 Å, b = 5.5856 Å, c = 5.5856 Å
α = 90.04°, β = 90.04°, γ = 90.04°
Atoms (fractional coordinates):
Zr 0.0002 0.2527 0.4999
Zr 0.9998 0.7473 0.5001
Zr 0.2527 0.4999 0.0002
Zr 0.4999 0.0002 0.2527
Zr 0.5001 0.9998 0.7473
Zr 0.7473 0.5001 0.9998
In 0.0000 0.0000 0.0000
Ga 0.5000 0.5000 0.5000



two | This record from Alexandria describes a relaxed structure of Zr6InGa. The functional is PBE-GGA.

Results
* space-group type: P4/mmm
* total magnetic moment: 0.00 μB/f.u.
* volume: 21.6 Å³/atom

a = 4.4227 Å, b = 4.4227 Å, c = 8.8281 Å
α = 90.00°, β = 90.00°, γ = 90.00°
Atoms (fractional coordinates):
Zr 0.0000 0.0000 0.0000
Zr 0.0000 0.0000 0.5000
Zr 0.0000 0.5000 0.2420
Zr 0.0000 0.5000 0.7580
Zr 0.5000 0.0000 0.2420
Zr 0.5000 0.0000 0.7580
In 0.5000 0.5000 0.5000
Ga 0.5000 0.5000 0.0000



Of them, the most stable is two and the least stable is one.



one | This record from Alexandria describes a relaxed structure of Zr2In2Ga. The functional is PBE-GGA.

Results
* space-group type: P4/mbm
* total magnetic moment: 0.00 μB/f.u.
* volume: 23.3 Å³/atom

a = 7.1904 Å, b = 7.1904 Å, c = 4.5156 Å
α = 90.00°, β = 90.00°, γ = 90.00°
Atoms (fractional coordinates):
Zr 0.1557 0.3443 0.0000
Zr 0.3443 0.8443 0.0000
Zr 0.6557 0.1557 0.0000
Zr 0.8443 0.6557 0.0000
In 0.1522 0.6522 0.5000
In 0.3478 0.1522 0.5000
In 0.6522 0.8478 0.5000
In 0.8478 0.3478 0.5000
Ga 0.0000 0.0000 0.0000
Ga 0.5000 0.5000 0.0000



two | This record from Alexandria describes a relaxed structure of Zr2In2Ga. The functional is PBE-GGA.

Results
* space-group type: P4/mbm
* total magnetic moment: 0.00 μB/f.u.
* volume: 22.1 Å³/atom

a = 7.1378 Å, b = 7.1378 Å, c = 4.3381 Å
α = 90.00°, β = 90.00°, γ = 90.00°
Atoms (fractional coordinates):
Zr 0.1719 0.3281 0.0000
Zr 0.3281 0.8281 0.0000
Zr 0.6719 0.1719 0.0000
Zr 0.8281 0.6719 0.0000
In 0.1360 0.6360 0.5000
In 0.3640 0.1360 0.5000
In 0.6360 0.8640 0.5000
In 0.8640 0.3640 0.5000
Ga 0.0000 0.0000 0.5000
Ga 0.5000 0.5000 0.5000



Of them, the most stable is one and the least stable is two.



one | This record from Alexandria describes a relaxed structure of ZrInGa. The functional is PBE-GGA.

Results
* space-group type: P3m1
* total magnetic moment: 0.00 μB/f.u.
* volume: 20.4 Å³/atom

a = 4.7168 Å, b = 4.7168 Å, c = 3.1743 Å
α = 90.00°, β = 90.00°, γ = 120.00°
Atoms (fractional coordinates):
Zr 0.0000 0.0000 0.0000
In 0.6667 0.3333 0.4976
Ga 0.3333 0.6667 0.5077



two | This record from Alexandria describes a relaxed structure of ZrInGa. The functional is PBE-GGA.

Results
* space-group type: Cmcm
* total magnetic moment: 0.00 μB/f.u.
* volume: 20.8 Å³/atom

a = 7.7534 Å, b = 7.7534 Å, c = 3.9473 Å
α = 90.00°, β = 90.00°, γ = 148.21°
Atoms (fractional coordinates):
Zr 0.0841 0.9159 0.7500
Zr 0.9159 0.0841 0.2500
In 0.2557 0.7443 0.2500
In 0.7443 0.2557 0.7500
Ga 0.4381 0.5619 0.7500
Ga 0.5619 0.4381 0.2500



Of them, the most stable is two and the least stable is one.



one | This record from Alexandria describes a relaxed structure of Zr3InGa. The functional is PBE-GGA.

Results
* space-group type: Pm-3m
* total magnetic moment: 0.00 μB/f.u.
* volume: 25.3 Å³/atom

a = 5.0187 Å, b = 5.0187 Å, c = 5.0187 Å
α = 90.00°, β = 90.00°, γ = 90.00°
Atoms (fractional coordinates):
Zr 0.0000 0.0000 0.5000
Zr 0.0000 0.5000 0.0000
Zr 0.5000 0.0000 0.0000
In 0.5000 0.5000 0.5000
Ga 0.0000 0.0000 0.0000



two | This record from Alexandria describes a relaxed structure of Zr3InGa. The functional is PBE-GGA.

Results
* space-group type: C2/c
* total magnetic moment: 0.00 μB/f.u.
* volume: 22.0 Å³/atom

a = 6.0607 Å, b = 6.0607 Å, c = 13.5084 Å
α = 96.50°, β = 96.50°, γ = 63.59°
Atoms (fractional coordinates):
Zr 0.0503 0.3202 0.7954
Zr 0.0698 0.8342 0.8848
Zr 0.1640 0.4299 0.5966
Zr 0.1658 0.9302 0.6152
Zr 0.3202 0.0503 0.2954
Zr 0.4299 0.1640 0.0966
Zr 0.5701 0.8360 0.9034
Zr 0.6798 0.9497 0.7046
Zr 0.8342 0.0698 0.3848
Zr 0.8360 0.5701 0.4034
Zr 0.9302 0.1658 0.1152
Zr 0.9497 0.6798 0.2046
In 0.3107 0.5905 0.4109
In 0.4095 0.6893 0.0891
In 0.5905 0.3107 0.9109
In 0.6893 0.4095 0.5891
Ga 0.0000 0.5000 0.0000
Ga 0.4384 0.5616 0.7500
Ga 0.5000 0.0000 0.5000
Ga 0.5616 0.4384 0.2500



Of them, the most stable is two and the least stable is one.